Below is crystalline CsCaAsS4 at its relaxed geometry, with properties calculated at the PBE level.

Space group: No. 11
E_form (uncorrected) (eV/atom): -1.000
Raw total energy (eV/atom): -4.4308
Size of the total moment (μB per cell): 0.0

Cell: 6.6854 6.9336 9.4630 Å, 90.00 107.62 90.00°
Positions (direct):
Cs1 0.2346 0.2500 0.4352
Cs2 0.7654 0.7500 0.5648
Ca1 0.2687 0.2500 0.9523
Ca2 0.7313 0.7500 0.0477
As1 0.2855 0.7500 0.1648
As2 0.7145 0.2500 0.8352
S1 0.0848 0.7500 0.9358
S2 0.0908 0.7500 0.3132
S3 0.4986 0.5012 0.2015
S4 0.4986 0.9988 0.2015
S5 0.5014 0.0012 0.7985
S6 0.5014 0.4988 0.7985
S7 0.9092 0.2500 0.6868
S8 0.9152 0.2500 0.0642